(1)
Material: ErAlZn
Method: DFT, GGA-PBE
State: relaxed

Calculated values
formation energy	-92	kJ/mol of formula units
size of the total moment	0.000	μB per formula unit

abc: 6.3968 6.3968 6.3968
angles: 90.00 90.00 90.00
Closest atoms and distances in Å follow each position.
Positions (direct):
Er: 0.0000 0.0000 0.0000  4 Zn 2.77
Er: 0.0000 0.5000 0.5000  4 Zn 2.77
Er: 0.5000 0.0000 0.5000  4 Zn 2.77
Er: 0.5000 0.5000 0.0000  4 Zn 2.77
Al: 0.0000 0.0000 0.5000  4 Zn 2.77
Al: 0.0000 0.5000 0.0000  4 Zn 2.77
Al: 0.5000 0.0000 0.0000  4 Zn 2.77
Al: 0.5000 0.5000 0.5000  4 Zn 2.77
Zn: 0.2500 0.2500 0.2500  4 Er 2.77, 4 Al 2.77
Zn: 0.2500 0.7500 0.7500  4 Er 2.77, 4 Al 2.77
Zn: 0.7500 0.2500 0.7500  4 Er 2.77, 4 Al 2.77
Zn: 0.7500 0.7500 0.2500  4 Er 2.77, 4 Al 2.77

(2)
Material: Er3Al7Zn2
Method: DFT, GGA-PBE
State: relaxed

Calculated values
formation energy	-464	kJ/mol of formula units
size of the total moment	0.000	μB per formula unit

abc: 9.1814 9.1814 9.1814
angles: 34.89 34.89 34.89
Closest atoms and distances in Å follow each position.
Positions (direct):
Er: 0.0000 0.0000 0.0000  6 Zn 3.18, 12 Al 3.48
Er: 0.1411 0.1411 0.1411  12 Al 3.14-3.25, 3 Er 3.44
Er: 0.8589 0.8589 0.8589  12 Al 3.14-3.25, 3 Er 3.44
Al: 0.0761 0.5855 0.5855  2 Zn 2.64-2.68, 5 Al 2.70-2.80
Al: 0.4145 0.4145 0.9239  2 Zn 2.64-2.68, 5 Al 2.70-2.80
Al: 0.4145 0.9239 0.4145  2 Zn 2.64-2.68, 5 Al 2.70-2.80
Al: 0.5000 0.5000 0.5000  6 Al 2.71
Al: 0.5855 0.0761 0.5855  2 Zn 2.64-2.68, 5 Al 2.70-2.80
Al: 0.5855 0.5855 0.0761  2 Zn 2.64-2.68, 5 Al 2.70-2.80
Al: 0.9239 0.4145 0.4145  2 Zn 2.64-2.68, 5 Al 2.70-2.80
Zn: 0.3352 0.3352 0.3352  6 Al 2.64-2.68
Zn: 0.6648 0.6648 0.6648  6 Al 2.64-2.68

(3)
Material: Er6AlZn2
Method: DFT, GGA-PBE
State: relaxed

Calculated values
ΔE to the lowest computed polymorph	0.237	eV/atom
formation energy	5	kJ/mol of formula units
size of the total moment	0.000	μB per formula unit

abc: 11.0976 11.0976 11.0976
angles: 154.38 154.38 36.54
Closest atoms and distances in Å follow each position.
Positions (direct):
Er: 0.0859 0.5859 0.5000  2 Zn 3.00, 2 Al 3.05
Er: 0.2500 0.7500 0.5000  4 Zn 3.01
Er: 0.4141 0.9141 0.5000  2 Zn 3.00, 2 Al 3.05
Er: 0.5859 0.0859 0.5000  2 Zn 3.00, 2 Al 3.05
Er: 0.7500 0.2500 0.5000  4 Zn 3.01
Er: 0.9141 0.4141 0.5000  2 Zn 3.00, 2 Al 3.05
Al: 0.0000 0.0000 0.0000  8 Er 3.05
Zn: 0.3323 0.3323 0.0000  8 Er 3.00-3.01
Zn: 0.6677 0.6677 0.0000  8 Er 3.00-3.01